Version w
Compound: MgSc2Br2
Source: Alexandria
Functional: PBE
Structure: relaxed

a = 8.2500 Å, b = 8.2500 Å, c = 3.3845 Å
α = 90.00°, β = 90.00°, γ = 90.00°
With the nearest neighbours (Å) after each atom.
Space group P4/mbm (No. 127)
Symmetry-distinct sites (fractional):
Mg  0.0000  0.0000  0.0000 (multiplicity 2)  4 Sc 3.14, 2 Mg 3.38
Sc  0.1506  0.3494  0.0000 (multiplicity 4)  6 Br 2.91-3.01, 2 Mg 3.14
Br  0.1356  0.6356  0.5000 (multiplicity 4)  6 Sc 2.91-3.01, 1 Br 3.16

=====

Version x
Compound: MgSc2Br2
Source: Alexandria
Functional: PBE
Structure: relaxed

a = 4.6170 Å, b = 4.6170 Å, c = 12.5857 Å
α = 90.00°, β = 90.00°, γ = 90.00°
With the nearest neighbours (Å) after each atom.
Space group I4/mmm (No. 139)
Symmetry-distinct sites (fractional):
Mg  0.0000  0.0000  0.0000 (multiplicity 2)  8 Sc 3.58, 8 Br 3.90
Sc  0.0000  0.0000  0.3842 (multiplicity 4)  4 Br 2.86, 1 Sc 2.91
Br  0.0000  0.5000  0.2500 (multiplicity 4)  4 Sc 2.86

=====

version x (157 meV per atom below the next structure)